Record 1
Below is a relaxed MnGe2W crystal, with properties calculated at the PBE level.

The structure in POSCAR format:
```
MnGe2W
1.0
1.471 0.849 9.091
-1.471 0.849 9.091
0.000 -1.699 9.091
Mn Ge W
1 2 1
Direct
0.000 0.000 0.000 Mn
0.090 0.090 0.090 Ge
0.910 0.910 0.910 Ge
0.500 0.500 0.500 W
```

Summary:
- symmetry = R-3m (166)
- E_form (kJ per mole of atoms) = 40
- calculated density (Mg/m³) = 9.36
- excess energy over the best structure of this formula in the dataset (meV/atom) = 215

---

Record 2
Below is a relaxed Tb2Er5Pd4 crystal, with properties calculated at the PBE level.

The structure in POSCAR format:
```
Tb2Er5Pd4
1.0
12.204 -1.788 0.000
12.204 1.788 0.000
-0.178 0.000 6.753
Tb Er Pd
2 5 4
Direct
0.235 0.235 0.253 Tb
0.765 0.765 0.747 Tb
0.090 0.090 0.166 Er
0.133 0.133 0.676 Er
0.500 0.500 0.500 Er
0.867 0.867 0.324 Er
0.910 0.910 0.834 Er
0.026 0.026 0.812 Pd
0.331 0.331 0.008 Pd
0.669 0.669 0.992 Pd
0.974 0.974 0.188 Pd
```

Summary:
- symmetry = C2/m (12)
- E_form (kJ per mole of atoms) = -42
- calculated density (Mg/m³) = 8.90

---

Record 3
Below is a relaxed In3Ga3Bi crystal, with properties calculated at the PBE level.

The structure in POSCAR format:
```
In3Ga3Bi
1.0
4.203 2.426 5.750
-4.203 2.426 5.750
0.000 -4.853 5.750
In Ga Bi
6 6 2
Direct
0.005 0.733 0.557 In
0.267 0.443 0.995 In
0.443 0.995 0.267 In
0.557 0.005 0.733 In
0.733 0.557 0.005 In
0.995 0.267 0.443 In
0.113 0.243 0.842 Ga
0.158 0.887 0.757 Ga
0.243 0.842 0.113 Ga
0.757 0.158 0.887 Ga
0.842 0.113 0.243 Ga
0.887 0.757 0.158 Ga
0.403 0.403 0.403 Bi
0.597 0.597 0.597 Bi
```

Summary:
- symmetry = R-3 (148)
- E_form (kJ per mole of atoms) = 6
- calculated density (Mg/m³) = 7.20
- excess energy over the best structure of this formula in the dataset (meV/atom) = 0

---

Record 4
Below is a relaxed Ba2Ac2Au3 crystal, with properties calculated at the PBE level.

The structure in POSCAR format:
```
Ba2Ac2Au3
1.0
-4.972 4.972 4.972
4.972 -4.972 4.972
4.972 4.972 -4.972
Ba Ac Au
4 4 6
Direct
0.000 0.868 0.500 Ba
0.500 0.000 0.868 Ba
0.632 0.632 0.632 Ba
0.868 0.500 0.000 Ba
0.000 0.376 0.500 Ac
0.124 0.124 0.124 Ac
0.376 0.500 0.000 Ac
0.500 0.000 0.376 Ac
0.149 0.750 0.899 Au
0.250 0.601 0.351 Au
0.351 0.250 0.601 Au
0.601 0.351 0.250 Au
0.750 0.899 0.149 Au
0.899 0.149 0.750 Au
```

Summary:
- symmetry = I2_13 (199)
- E_form (kJ per mole of atoms) = -59
- calculated density (Mg/m³) = 8.91

---

Record 5
Below is a relaxed BaY3I crystal, with properties calculated at the PBE level.

The structure in POSCAR format:
```
BaY3I
1.0
5.887 0.000 0.000
0.000 5.887 0.000
0.000 0.000 5.887
Ba Y I
1 3 1
Direct
0.000 0.000 0.000 Ba
0.000 0.000 0.500 Y
0.000 0.500 0.000 Y
0.500 0.000 0.000 Y
0.500 0.500 0.500 I
```

Summary:
- symmetry = Pm-3m (221)
- calculated density (Mg/m³) = 4.32
- excess energy over the best structure of this formula in the dataset (meV/atom) = 890

---

Record 6
Below is a relaxed Ta2AgMo crystal, with properties calculated at the PBE level.

The structure in POSCAR format:
```
Ta2AgMo
1.0
2.754 0.000 0.000
0.000 4.405 0.000
0.000 0.000 5.821
Ta Ag Mo
2 1 1
Direct
0.000 0.000 0.000 Ta
0.500 0.500 0.257 Ta
0.000 0.000 0.507 Ag
0.500 0.500 0.770 Mo
```

Summary:
- symmetry = Pmm2 (25)
- E_form (kJ per mole of atoms) = 34
- calculated density (Mg/m³) = 13.30
- excess energy over the best structure of this formula in the dataset (meV/atom) = 260

---

Record 7
Below is a relaxed AlZnPt2 crystal, with properties calculated at the PBE level.

The structure in POSCAR format:
```
AlZnPt2
1.0
4.126 -1.472 0.000
4.126 1.472 0.000
-1.116 0.000 5.009
Al Zn Pt
1 1 2
Direct
0.000 0.000 0.000 Al
0.500 0.500 0.500 Zn
0.258 0.258 0.756 Pt
0.742 0.742 0.244 Pt
```

Summary:
- symmetry = C2/m (12)
- E_form (kJ per mole of atoms) = -59
- calculated density (Mg/m³) = 13.17

---

Record 8
Below is a relaxed KPr4Te5 crystal, with properties calculated at the PBE level.

The structure in POSCAR format:
```
KPr4Te5
1.0
-2.286 3.233 11.591
2.286 -3.233 11.591
2.286 3.233 -11.591
K Pr Te
1 4 5
Direct
0.000 0.000 0.000 K
0.206 0.206 0.000 Pr
0.399 0.399 0.000 Pr
0.601 0.601 0.000 Pr
0.794 0.794 0.000 Pr
0.108 0.608 0.500 Te
0.303 0.803 0.500 Te
0.500 0.000 0.500 Te
0.697 0.197 0.500 Te
0.892 0.392 0.500 Te
```

Summary:
- symmetry = Immm (71)
- total DFT energy (no corrections) (eV/atom) = -5.01
- calculated density (Mg/m³) = 6.01